Model w:
Crystalline PmPrBr2 at its relaxed geometry, computed with GGA-PBE.

## Properties
V	126	Å³ per cell

abc: 10.578 10.578 10.578
angles: 20.38 20.38 20.38
Positions (direct):
Pm  0.000  0.000  0.000
Pr  0.500  0.500  0.500
Br  0.402  0.402  0.402
Br  0.598  0.598  0.598

=====

Model x:
Crystalline PmPrBr2 at its relaxed geometry, computed with GGA-PBE.

## Properties
V	111	Å³ per cell

abc: 9.612 9.612 9.612
angles: 22.23 22.23 22.23
Positions (direct):
Pm  0.000  0.000  0.000
Pr  0.164  0.164  0.164
Br  0.414  0.414  0.414
Br  0.584  0.584  0.584

=====

Model y:
Crystalline PmPrBr2 at its relaxed geometry, computed with GGA-PBE.

## Properties
V	263	Å³ per cell

abc: 3.766 7.247 9.648
angles: 90.00 90.06 90.00
Positions (direct):
Pm  0.249  0.000  0.424
Pm  0.751  0.500  0.576
Pr  0.252  0.185  0.799
Pr  0.748  0.685  0.201
Br  0.248  0.979  0.089
Br  0.251  0.803  0.689
Br  0.749  0.303  0.311
Br  0.752  0.479  0.911

=====

Verdict on stability: model x comes out on top.

=====

Model w:
Crystalline PmPrBr3 at its relaxed geometry, computed with GGA-PBE.

## Properties
V	349	Å³ per cell

abc: 8.916 8.916 11.387
angles: 119.77 119.77 26.65
Positions (direct):
Pm  0.082  0.082  0.454
Pm  0.918  0.918  0.546
Pr  0.361  0.361  0.211
Pr  0.639  0.639  0.789
Br  0.159  0.159  0.007
Br  0.276  0.276  0.381
Br  0.457  0.457  0.758
Br  0.543  0.543  0.242
Br  0.724  0.724  0.619
Br  0.841  0.841  0.993

=====

Model x:
Crystalline PmPrBr3 at its relaxed geometry, computed with GGA-PBE.

## Properties
V	321	Å³ per cell

abc: 6.775 6.780 8.958
angles: 67.79 67.79 60.03
Positions (direct):
Pm  0.169  0.168  0.494
Pm  0.831  0.832  0.506
Pr  0.331  0.331  0.006
Pr  0.669  0.669  0.994
Br  0.088  0.415  0.744
Br  0.248  0.911  0.256
Br  0.415  0.752  0.744
Br  0.585  0.248  0.256
Br  0.752  0.089  0.744
Br  0.912  0.585  0.256

=====

Verdict on stability: model w comes out on top.

=====

Model w:
Crystalline Pm2PrBr6 at its relaxed geometry, computed with GGA-PBE.

## Properties
V	327	Å³ per cell

abc: 8.433 8.433 10.971
angles: 114.92 114.92 27.69
Positions (direct):
Pm  0.151  0.151  0.307
Pm  0.849  0.849  0.693
Pr  0.500  0.500  0.000
Br  0.148  0.148  0.042
Br  0.200  0.200  0.609
Br  0.484  0.484  0.710
Br  0.516  0.516  0.290
Br  0.800  0.800  0.391
Br  0.852  0.852  0.958

=====

Model x:
Crystalline Pm2PrBr6 at its relaxed geometry, computed with GGA-PBE.

## Properties
V	297	Å³ per cell

abc: 9.065 9.065 6.895
angles: 99.26 99.26 32.07
Positions (direct):
Pm  0.197  0.197  0.099
Pm  0.803  0.803  0.901
Pr  0.500  0.500  0.500
Br  0.057  0.057  0.304
Br  0.241  0.241  0.704
Br  0.379  0.379  0.128
Br  0.621  0.621  0.872
Br  0.759  0.759  0.296
Br  0.943  0.943  0.696

=====

Verdict on stability: model w comes out on top.

=====

Model w:
Crystalline Rb2PmBr5 at its relaxed geometry, computed with GGA-PBE.

## Properties
V	1163	Å³ per cell

abc: 14.061 9.377 8.820
angles: 90.00 90.00 90.00
Positions (direct):
Rb  0.171  0.006  0.066
Rb  0.171  0.494  0.066
Rb  0.329  0.506  0.566
Rb  0.329  0.994  0.566
Rb  0.671  0.006  0.434
Rb  0.671  0.494  0.434
Rb  0.829  0.506  0.934
Rb  0.829  0.994  0.934
Pm  0.005  0.250  0.573
Pm  0.495  0.750  0.073
Pm  0.505  0.250  0.927
Pm  0.995  0.750  0.427
Br  0.012  0.250  0.908
Br  0.068  0.545  0.665
Br  0.068  0.955  0.665
Br  0.179  0.250  0.391
Br  0.197  0.750  0.353
Br  0.303  0.250  0.853
Br  0.321  0.750  0.891
Br  0.432  0.045  0.165
Br  0.432  0.455  0.165
Br  0.488  0.750  0.408
Br  0.512  0.250  0.592
Br  0.568  0.545  0.835
Br  0.568  0.955  0.835
Br  0.679  0.250  0.109
Br  0.697  0.750  0.147
Br  0.803  0.250  0.647
Br  0.821  0.750  0.609
Br  0.932  0.045  0.335
Br  0.932  0.455  0.335
Br  0.988  0.750  0.092

=====

Model x:
Crystalline Rb2PmBr5 at its relaxed geometry, computed with GGA-PBE.

## Properties
V	378	Å³ per cell

abc: 7.628 7.628 8.503
angles: 117.78 117.78 66.93
Positions (direct):
Rb  0.000  0.000  0.000
Rb  0.511  0.511  0.556
Pm  0.749  0.749  0.267
Br  0.411  0.888  0.382
Br  0.506  0.950  0.996
Br  0.888  0.411  0.382
Br  0.950  0.506  0.996
Br  0.990  0.990  0.578

=====

Verdict on stability: model w comes out on top.

=====

Model w:
Crystalline Rb2PmBr6 at its relaxed geometry, computed with GGA-PBE.

## Properties
V	312	Å³ per cell

abc: 4.618 8.843 8.843
angles: 120.12 90.00 90.00
Positions (direct):
Rb  0.000  0.167  0.833
Rb  0.000  0.833  0.167
Pm  0.500  0.501  0.501
Br  0.000  0.268  0.500
Br  0.000  0.500  0.268
Br  0.000  0.733  0.733
Br  0.500  0.153  0.153
Br  0.500  0.500  0.848
Br  0.500  0.848  0.500

=====

Model x:
Crystalline Rb2PmBr6 at its relaxed geometry, computed with GGA-PBE.

## Properties
V	353	Å³ per cell

abc: 9.416 9.416 9.416
angles: 147.56 127.20 63.35
Positions (direct):
Rb  0.169  0.169  0.000
Rb  0.831  0.831  0.000
Pm  0.500  0.500  0.000
Br  0.133  0.356  0.777
Br  0.297  0.000  0.297
Br  0.421  0.644  0.777
Br  0.579  0.356  0.223
Br  0.703  0.000  0.703
Br  0.867  0.644  0.223

=====

Verdict on stability: model w comes out on top.

=====

Model w:
Crystalline Pm2ReBr at its relaxed geometry, computed with GGA-PBE.

## Properties
V	101	Å³ per cell

abc: 3.515 3.515 8.171
angles: 90.00 90.00 90.00
Positions (direct):
Pm  0.000  0.000  0.209
Pm  0.000  0.000  0.791
Re  0.500  0.500  0.000
Br  0.500  0.500  0.500

=====

Model x:
Crystalline Pm2ReBr at its relaxed geometry, computed with GGA-PBE.

## Properties
V	99	Å³ per cell

abc: 10.645 10.645 10.645
angles: 17.81 17.81 17.81
Positions (direct):
Pm  0.088  0.088  0.088
Pm  0.912  0.912  0.912
Re  0.000  0.000  0.000
Br  0.500  0.500  0.500

=====

Verdict on stability: model w comes out on top.

=====

Model w:
Crystalline PmRhBr at its relaxed geometry, computed with GGA-PBE.

## Properties
V	158	Å³ per cell

abc: 4.536 4.536 7.685
angles: 90.05 90.05 90.00
Positions (direct):
Pm  0.249  0.249  0.230
Pm  0.751  0.751  0.770
Rh  0.251  0.749  0.000
Rh  0.749  0.251  0.000
Br  0.250  0.750  0.500
Br  0.750  0.250  0.500

=====

Model x:
Crystalline PmRhBr at its relaxed geometry, computed with GGA-PBE.

## Properties
V	174	Å³ per cell

abc: 11.069 11.069 11.069
angles: 22.49 22.49 22.49
Positions (direct):
Pm  0.057  0.057  0.057
Pm  0.943  0.943  0.943
Rh  0.335  0.335  0.335
Rh  0.665  0.665  0.665
Br  0.220  0.220  0.220
Br  0.780  0.780  0.780

=====

Verdict on stability: model x comes out on top.

=====

Model w:
Crystalline Pm3RuBr at its relaxed geometry, computed with GGA-PBE.

## Properties
V	308	Å³ per cell

abc: 3.849 9.602 8.334
angles: 90.00 90.00 90.00
Positions (direct):
Pm  0.250  0.074  0.155
Pm  0.250  0.250  0.742
Pm  0.250  0.426  0.155
Pm  0.750  0.574  0.845
Pm  0.750  0.750  0.258
Pm  0.750  0.926  0.845
Ru  0.250  0.750  0.027
Ru  0.750  0.250  0.973
Br  0.250  0.750  0.567
Br  0.750  0.250  0.433

=====

Model x:
Crystalline Pm3RuBr at its relaxed geometry, computed with GGA-PBE.

## Properties
V	290	Å³ per cell

abc: 4.052 7.479 9.569
angles: 90.00 90.00 90.00
Positions (direct):
Pm  0.250  0.000  0.155
Pm  0.250  0.250  0.591
Pm  0.250  0.500  0.155
Pm  0.750  0.000  0.845
Pm  0.750  0.500  0.845
Pm  0.750  0.750  0.409
Ru  0.250  0.250  0.897
Ru  0.750  0.750  0.103
Br  0.250  0.750  0.663
Br  0.750  0.250  0.337

=====

Verdict on stability: model w comes out on top.